Record 1
VASP calculation (PBE) on a relaxed structure of SrTmAs2O8.

Cell and atoms, written as POSCAR:
```
SrTmAs2O8
1.0
5.138 0.000 0.000
0.000 5.138 0.000
-2.569 -2.569 5.847
Sr Tm As O
1 1 2 8
direct
0.750 0.250 0.500
0.000 0.000 0.000
0.500 0.500 0.000
0.250 0.750 0.500
0.725 0.823 0.144
0.419 0.321 0.144
0.583 0.710 0.666
0.083 0.956 0.666
0.044 0.417 0.334
0.290 0.917 0.334
0.177 0.581 0.856
0.679 0.275 0.856
```

Calculated values
For the density of states at the Fermi level, the calculation gives 7.09 states/eV/cell. The calculation puts the electronic total energy at -6.613 eV per atom. Its symmetry is I-4.

---

Record 2
VASP calculation (PBE) on a relaxed structure of Ba2WCl.

Cell and atoms, written as POSCAR:
```
Ba2WCl
1.0
-2.187 -4.285 -2.958
3.372 -4.075 -1.982
-0.199 -5.175 2.253
Ba W Cl
2 1 1
direct
0.000 0.000 0.000
0.250 0.250 0.250
0.750 0.750 0.750
0.500 0.500 0.500
```

Calculated values
For the density of states at the Fermi level, the calculation gives 3.95 states/eV/cell. The calculation puts the electronic total energy at -3.814 eV per atom. Its symmetry is F-43m.

---

Record 3
VASP calculation (PBE) on a relaxed structure of SrAlAg3.

Cell and atoms, written as POSCAR:
```
SrAlAg3
1.0
5.860 0.000 0.000
0.000 5.860 0.000
0.000 0.000 5.860
Sr Al Ag
1 1 3
direct
0.000 0.000 0.000
0.500 0.500 0.500
0.000 0.500 0.000
0.000 0.000 0.500
0.500 0.000 0.000
```

Calculated values
For the density of states at the Fermi level, the calculation gives 1.09 states/eV/cell. The calculation puts the electronic total energy at -1.789 eV per atom. Its symmetry is Pm-3m.

---

Record 4
VASP calculation (PBE) on a relaxed structure of ErTmSc4.

Cell and atoms, written as POSCAR:
```
ErTmSc4
1.0
-5.172 1.753 6.414
-1.178 -0.681 -5.082
1.978 -9.459 0.807
Er Tm Sc
2 2 8
direct
0.375 0.625 0.250
0.625 0.375 0.750
0.125 0.875 0.750
0.875 0.125 0.250
0.958 0.208 0.917
0.458 0.708 0.917
0.291 0.540 0.583
0.709 0.460 0.417
0.208 0.956 0.417
0.542 0.292 0.083
0.792 0.044 0.583
0.042 0.792 0.083
```

Calculated values
For the density of states at the Fermi level, the calculation gives 26.25 states/eV/cell. The calculation puts the electronic total energy at -5.664 eV per atom. Its symmetry is C2/c.